Entry P
Here is a relaxed SmPuHg4 crystal from Alexandria. Energies are from GGA-PBE.

Unit cell a=3.2845 b=5.0955 c=8.8330 alpha=90.00 beta=90.00 gamma=90.00
Last column: nearest neighbours and their distance in Å.
Space group Pmmm (No. 47)
Asymmetric unit:
Sm 0.0000 0.0000 0.0000  2 Sm 3.28, 12 Hg 3.37
Pu 0.0000 0.5000 0.5000  2 Pu 3.28, 12 Hg 3.37
Hg 0.5000 0.0000 0.3331  5 Hg 2.94-3.28
Hg 0.5000 0.5000 0.1662  5 Hg 2.94-3.28

---

Entry Q
Here is a relaxed SmPuHg4 crystal from Alexandria. Energies are from GGA-PBE.

Unit cell a=8.4883 b=8.4883 c=8.4883 alpha=90.00 beta=90.00 gamma=90.00
Last column: nearest neighbours and their distance in Å.
Space group F-43m (No. 216)
Asymmetric unit:
Sm 0.0000 0.0000 0.0000  12 Hg 3.52, 4 Pu 3.68
Pu 0.2500 0.2500 0.2500  12 Hg 3.52, 4 Sm 3.68
Hg 0.1251 0.1251 0.6251  6 Hg 3.00

---

Which of them is the most stable? Correct choice: entry P.

---

Entry P
Here is a relaxed SmPuHg crystal from Alexandria. Energies are from GGA-PBE.

Unit cell a=11.7638 b=3.6783 c=8.1708 alpha=90.00 beta=108.42 gamma=90.00
Last column: nearest neighbours and their distance in Å.
Space group C2/m (No. 12)
Asymmetric unit:
Sm 0.1665 0.0000 0.1185  5 Hg 3.25-3.34, 3 Pu 3.49-3.57
Pu 0.1372 0.0000 0.5302  3 Pu 3.11-3.39, 4 Hg 3.27-3.29
Hg 0.0356 0.5000 0.7848  5 Sm 3.25-3.34, 4 Pu 3.27-3.29

---

Entry Q
Here is a relaxed SmPuHg crystal from Alexandria. Energies are from GGA-PBE.

Unit cell a=5.2877 b=5.2877 c=3.3813 alpha=90.00 beta=90.00 gamma=120.00
Last column: nearest neighbours and their distance in Å.
Space group P3m1 (No. 156)
Asymmetric unit:
Sm 0.0000 0.0000 0.0000  3 Hg 3.23, 3 Pu 3.34, 2 Sm 3.38
Pu 0.6667 0.3333 0.4006  3 Hg 3.20, 3 Sm 3.34, 2 Pu 3.38
Hg 0.3333 0.6667 0.6873  3 Pu 3.20, 3 Sm 3.23, 2 Hg 3.38

---

Entry R
Here is a relaxed SmPuHg crystal from Alexandria. Energies are from GGA-PBE.

Unit cell a=3.5800 b=3.5800 c=13.3042 alpha=90.00 beta=90.00 gamma=90.00
Last column: nearest neighbours and their distance in Å.
Space group I4mm (No. 107)
Asymmetric unit:
Sm 0.0000 0.0000 0.0000  4 Hg 3.26, 4 Pu 3.57, 4 Sm 3.58
Pu 0.0000 0.0000 0.6893  4 Hg 3.28, 4 Sm 3.57, 4 Pu 3.58
Hg 0.0000 0.0000 0.3460  4 Sm 3.26, 4 Pu 3.28, 4 Hg 3.58

---

Which of them is the most stable? Correct choice: entry P.

---

Entry P
Here is a relaxed PuSnHg crystal from Alexandria. Energies are from GGA-PBE.

Unit cell a=7.0373 b=7.0373 c=7.0373 alpha=90.00 beta=90.00 gamma=90.00
Last column: nearest neighbours and their distance in Å.
Space group F-43m (No. 216)
Asymmetric unit:
Pu 0.0000 0.0000 0.0000  4 Hg 3.05
Sn 0.0000 0.0000 0.5000  4 Hg 3.05
Hg 0.2500 0.2500 0.7500  4 Sn 3.05, 4 Pu 3.05

---

Entry Q
Here is a relaxed PuSnHg crystal from Alexandria. Energies are from GGA-PBE.

Unit cell a=4.8075 b=14.3405 c=4.4949 alpha=90.00 beta=90.00 gamma=90.00
Last column: nearest neighbours and their distance in Å.
Space group Cmcm (No. 63)
Asymmetric unit:
Pu 0.0000 0.0901 0.2500  4 Hg 3.27, 6 Sn 3.30-3.40, 2 Pu 3.42
Sn 0.0000 0.4228 0.2500  2 Sn 3.15, 4 Hg 3.29-3.51, 6 Pu 3.30-3.40
Hg 0.0000 0.2555 0.7500  4 Pu 3.27, 4 Sn 3.29-3.51, 4 Hg 3.29

---

Which of them is the most stable? Correct choice: entry Q.

---

Entry P
Here is a relaxed PuSnHg crystal from Alexandria. Energies are from GGA-PBE.

Unit cell a=3.4670 b=3.4670 c=12.9193 alpha=90.00 beta=90.00 gamma=90.00
Last column: nearest neighbours and their distance in Å.
Space group I4mm (No. 107)
Asymmetric unit:
Pu 0.0000 0.0000 0.0000  4 Hg 3.26, 4 Sn 3.31, 4 Pu 3.47
Sn 0.0000 0.0000 0.3274  4 Hg 3.22, 4 Pu 3.31, 4 Sn 3.47
Hg 0.0000 0.0000 0.6663  4 Sn 3.22, 4 Pu 3.26, 4 Hg 3.47

---

Entry Q
Here is a relaxed PuSnHg crystal from Alexandria. Energies are from GGA-PBE.

Unit cell a=5.0937 b=5.0937 c=3.3880 alpha=90.00 beta=90.00 gamma=120.00
Last column: nearest neighbours and their distance in Å.
Space group P-6m2 (No. 187)
Asymmetric unit:
Pu 0.0000 0.0000 0.0000  2 Pu 3.39, 6 Sn 3.39, 6 Hg 3.39
Sn 0.3333 0.6667 0.5000  3 Hg 2.94
Hg 0.6667 0.3333 0.5000  3 Sn 2.94

---

Entry R
Here is a relaxed PuSnHg crystal from Alexandria. Energies are from GGA-PBE.

Unit cell a=5.3307 b=9.2807 c=6.4079 alpha=90.00 beta=90.00 gamma=90.00
Last column: nearest neighbours and their distance in Å.
Space group Cmcm (No. 63)
Asymmetric unit:
Pu 0.0000 0.1673 0.2500  5 Sn 3.08-3.20
Sn 0.0000 0.1651 0.7500  5 Pu 3.08-3.20
Hg 0.0000 0.5000 0.0000  2 Hg 3.20, 6 Sn 3.47-3.50, 6 Pu 3.48

---

Entry S
Here is a relaxed PuSnHg crystal from Alexandria. Energies are from GGA-PBE.

Unit cell a=6.0575 b=3.4934 c=13.8469 alpha=90.00 beta=90.03 gamma=90.00
Last column: nearest neighbours and their distance in Å.
Space group C2/m (No. 12)
Asymmetric unit:
Pu 0.1665 0.0000 0.4561  3 Pu 2.36
Sn 0.1676 0.0000 0.0944  3 Hg 3.23, 9 Sn 3.30-3.50
Hg 0.0000 0.5000 0.2767  3 Pu 3.20, 3 Sn 3.23, 6 Hg 3.49-3.50

---

Which of them is the most stable? Correct choice: entry Q.